1.
First-principles (PBE-GGA) data for an optimized crystal structure of Ac5NbGe4, as listed in the Alexandria database.

```
data_Ac5NbGe4
_space_group_name_H-M_alt 'P 1'
_space_group_IT_number 1
_cell_length_a 9.672
_cell_length_b 9.672
_cell_length_c 8.497
_cell_angle_alpha 103.58
_cell_angle_beta 103.58
_cell_angle_gamma 25.18
loop_
_space_group_symop_operation_xyz
'x,y,z'
loop_
_atom_site_label
_atom_site_fract_x
_atom_site_fract_y
_atom_site_fract_z
Ac1 0.000 0.000 0.000
Ac2 0.325 0.325 0.673
Ac3 0.339 0.339 0.153
Ac4 0.661 0.661 0.847
Ac5 0.675 0.675 0.327
Nb1 0.000 0.000 0.500
Ge1 0.148 0.148 0.575
Ge2 0.495 0.495 0.703
Ge3 0.505 0.505 0.297
Ge4 0.852 0.852 0.425
```

Energy of formation ... -3.530 eV per formula unit
Raw total energy ... -5.261 eV/atom
Crystal system ... monoclinic
Fermi-level density of states ... 10.20 states/eV/cell

***

2.
First-principles (PBE-GGA) data for an optimized crystal structure of Zn2Ag, as listed in the Alexandria database.

```
data_Zn2Ag
_space_group_name_H-M_alt 'P 1'
_space_group_IT_number 1
_cell_length_a 5.096
_cell_length_b 5.096
_cell_length_c 8.379
_cell_angle_alpha 90.00
_cell_angle_beta 90.00
_cell_angle_gamma 120.00
loop_
_space_group_symop_operation_xyz
'x,y,z'
loop_
_atom_site_label
_atom_site_fract_x
_atom_site_fract_y
_atom_site_fract_z
Zn1 0.000 0.000 0.000
Zn2 0.000 0.000 0.500
Zn3 0.170 0.340 0.250
Zn4 0.170 0.830 0.250
Zn5 0.340 0.170 0.750
Zn6 0.660 0.830 0.250
Zn7 0.830 0.170 0.750
Zn8 0.830 0.660 0.750
Ag1 0.333 0.667 0.558
Ag2 0.333 0.667 0.942
Ag3 0.667 0.333 0.058
Ag4 0.667 0.333 0.442
```

Energy of formation ... -0.082 eV per formula unit
Raw total energy ... -1.827 eV/atom
Crystal system ... hexagonal
Fermi-level density of states ... 1.46 states/eV/cell

***

3.
First-principles (PBE-GGA) data for an optimized crystal structure of Pr6Ru2I3N, as listed in the Alexandria database.

```
data_Pr6Ru2I3N
_space_group_name_H-M_alt 'P 1'
_space_group_IT_number 1
_cell_length_a 7.077
_cell_length_b 7.077
_cell_length_c 8.446
_cell_angle_alpha 98.06
_cell_angle_beta 98.06
_cell_angle_gamma 119.84
loop_
_space_group_symop_operation_xyz
'x,y,z'
loop_
_atom_site_label
_atom_site_fract_x
_atom_site_fract_y
_atom_site_fract_z
Pr1 0.059 0.371 0.177
Pr2 0.254 0.254 0.821
Pr3 0.371 0.059 0.177
Pr4 0.629 0.941 0.823
Pr5 0.746 0.746 0.179
Pr6 0.941 0.629 0.823
Ru1 0.333 0.667 0.000
Ru2 0.667 0.333 0.000
I1 0.170 0.830 0.500
I2 0.500 0.500 0.500
I3 0.830 0.170 0.500
N1 0.000 0.000 0.000
```

Raw total energy ... -5.815 eV/atom
Crystal system ... monoclinic
ΔE_f (raw) ... -76.97 kJ/mol of atoms
Fermi-level density of states ... 9.31 states/eV/cell

***

4.
First-principles (PBE-GGA) data for an optimized crystal structure of CaDy3Pd12, as listed in the Alexandria database.

```
data_CaDy3Pd12
_space_group_name_H-M_alt 'P 1'
_space_group_IT_number 1
_cell_length_a 4.112
_cell_length_b 4.112
_cell_length_c 16.591
_cell_angle_alpha 90.00
_cell_angle_beta 90.00
_cell_angle_gamma 90.00
loop_
_space_group_symop_operation_xyz
'x,y,z'
loop_
_atom_site_label
_atom_site_fract_x
_atom_site_fract_y
_atom_site_fract_z
Ca1 0.000 0.000 0.000
Dy1 0.000 0.000 0.251
Dy2 0.000 0.000 0.500
Dy3 0.000 0.000 0.749
Pd1 0.000 0.500 0.127
Pd2 0.000 0.500 0.375
Pd3 0.000 0.500 0.625
Pd4 0.000 0.500 0.873
Pd5 0.500 0.000 0.127
Pd6 0.500 0.000 0.375
Pd7 0.500 0.000 0.625
Pd8 0.500 0.000 0.873
Pd9 0.500 0.500 0.000
Pd10 0.500 0.500 0.251
Pd11 0.500 0.500 0.500
Pd12 0.500 0.500 0.749
```

Energy of formation ... -12.534 eV per formula unit
Raw total energy ... -5.666 eV/atom
Crystal system ... tetragonal
Fermi-level density of states ... 12.87 states/eV/cell